Entry 1:
Sr2GaSi2 | GGA-PBE | optimized geometry

abc: 3.6128 3.6128 10.2463
angles: 79.85 79.85 90.00
Fractional positions:
Sr  0.3890  0.3890  0.2221
Sr  0.6110  0.6110  0.7779
Si  0.7500  0.2500  0.5000
Si  0.2500  0.7500  0.5000
Ga  0.0000  0.0000  0.0000

Calculated values
Calculated volume in Å³ per cell: 129.5
E in eV per cell: -17.8
Size of the total moment in Bohr magnetons per cell: 0.0
Space-group type: I4/mmm
DOS at the Fermi energy in states/eV per cell: 4.3



Entry 2:
Sr3Ga2Si4 | GGA-PBE | optimized geometry

abc: 4.1452 6.4934 8.8411
angles: 107.53 90.00 108.61
Fractional positions:
Sr  0.6068  0.2136  0.6849
Sr  0.0000  0.0000  0.0000
Sr  0.3932  0.7864  0.3151
Ga  0.7011  0.4022  0.3356
Ga  0.2989  0.5978  0.6644
Si  0.7179  0.4357  0.0508
Si  0.2821  0.5643  0.9492
Si  0.8892  0.7784  0.6061
Si  0.1108  0.2216  0.3939

Calculated values
Calculated volume in Å³ per cell: 213.8
E in eV per cell: -36.1
Size of the total moment in Bohr magnetons per cell: 0.0
Space-group type: C2/m
DOS at the Fermi energy in states/eV per cell: 1.4



Entry 3:
Sr5Ga2Si5 | GGA-PBE | optimized geometry

abc: 4.0224 8.3739 10.1716
angles: 94.47 78.60 76.10
Fractional positions:
Sr  0.5000  0.5000  0.5000
Sr  0.3977  0.2887  0.9158
Sr  0.3046  0.0729  0.3178
Sr  0.6954  0.9271  0.6822
Sr  0.6023  0.7113  0.0842
Ga  0.8567  0.5261  0.7604
Ga  0.1433  0.4739  0.2396
Si  0.9410  0.7543  0.3637
Si  0.2415  0.6876  0.8294
Si  0.7585  0.3124  0.1706
Si  0.0590  0.2457  0.6363
Si  0.0000  0.0000  0.0000

Calculated values
Calculated volume in Å³ per cell: 323.2
E in eV per cell: -45.3
Size of the total moment in Bohr magnetons per cell: 0.0
Space-group type: C2/m
DOS at the Fermi energy in states/eV per cell: 4.5



Entry 4:
Sr4Ga2Si5 | GGA-PBE | optimized geometry

abc: 4.7294 7.2087 8.0968
angles: 93.88 90.00 90.00
Fractional positions:
Sr  0.5000  0.2741  0.6469
Sr  0.5000  0.7658  0.8669
Sr  0.5000  0.7259  0.3531
Sr  0.5000  0.2342  0.1331
Ga  0.0000  0.9202  0.6275
Ga  0.0000  0.0798  0.3725
Si  0.0000  0.4181  0.3631
Si  0.0000  0.8938  0.1075
Si  0.0000  0.5000  0.0000
Si  0.0000  0.1062  0.8925
Si  0.0000  0.5819  0.6369

Calculated values
Calculated volume in Å³ per cell: 275.4
E in eV per cell: -43.7
Size of the total moment in Bohr magnetons per cell: 0.0
Space-group type: P2/m
DOS at the Fermi energy in states/eV per cell: 3.3



Entry 5:
SrGa3Si | GGA-PBE | optimized geometry

abc: 4.9951 4.9951 4.9951
angles: 90.00 90.00 90.00
Fractional positions:
Sr  0.5000  0.5000  0.5000
Si  0.0000  0.0000  0.0000
Ga  0.0000  0.5000  0.0000
Ga  0.0000  0.0000  0.5000
Ga  0.5000  0.0000  0.0000

Calculated values
Calculated volume in Å³ per cell: 124.6
E in eV per cell: -16.0
Size of the total moment in Bohr magnetons per cell: 0.0
Space-group type: Pm-3m
DOS at the Fermi energy in states/eV per cell: 2.7



Entry 6:
Sr2Ga3Si | GGA-PBE | optimized geometry

abc: 6.4000 6.4000 8.5767
angles: 109.57 109.57 95.87
Fractional positions:
Sr  0.7500  0.2500  0.5000
Sr  0.7462  0.2538  0.0000
Sr  0.2500  0.7500  0.5000
Sr  0.2538  0.7462  0.0000
Ga  0.8327  0.8327  0.1683
Ga  0.6644  0.6644  0.8317
Ga  0.1673  0.1673  0.8317
Ga  0.3356  0.3356  0.1683
Ga  0.1678  0.1678  0.3356
Ga  0.8322  0.8322  0.6644
Si  0.6670  0.6670  0.3339
Si  0.3330  0.3330  0.6661

Calculated values
Calculated volume in Å³ per cell: 302.7
E in eV per cell: -41.8
Size of the total moment in Bohr magnetons per cell: 0.0
Space-group type: Fmmm
DOS at the Fermi energy in states/eV per cell: 4.3